[1]
CaSmDy | PBE | optimized geometry

Unit cell a=3.6468 b=3.6468 c=9.1275 alpha=90.00 beta=90.00 gamma=120.00
Last column: nearest neighbours and their distance in Å.
Atoms (fractional coordinates):
Dy 0.6667 0.3333 0.3464  3 Sm 3.49, 6 Dy 3.65, 3 Ca 3.78
Sm 0.3333 0.6667 0.6510  3 Dy 3.49, 6 Sm 3.65, 3 Ca 3.84
Ca 0.0000 0.0000 0.0026  6 Ca 3.65, 3 Dy 3.78, 3 Sm 3.84

Calculated values
Its density of states at the Fermi level is 4.18 states/eV per cell. As for the space-group type: No. 156. The total energy comes out at -3.7145 eV/atom. Its volume is 105.1 Å³ per cell. The energy of formation is 0.060 eV/atom. The value obtained for the offset from the most stable computed form is 21 meV per atom. The calculation puts the total moment at 0.000 Bohr magnetons per cell.


[2]
Ca2SmDy | PBE | optimized geometry

Unit cell a=3.5805 b=3.5805 c=13.3767 alpha=82.31 beta=82.31 gamma=60.00
Last column: nearest neighbours and their distance in Å.
Atoms (fractional coordinates):
Ca 0.9112 0.9112 0.2664  1 Sm 3.52, 6 Ca 3.58, 3 Dy 3.72
Ca 0.0888 0.0888 0.7336  1 Sm 3.52, 6 Ca 3.58, 3 Dy 3.72
Sm 0.0000 0.0000 0.0000  2 Ca 3.52, 6 Sm 3.58
Dy 0.5000 0.5000 0.5000  6 Dy 3.58, 6 Ca 3.72

Calculated values
Its density of states at the Fermi level is 7.16 states/eV per cell. As for the space-group type: No. 166. The total energy comes out at -3.0941 eV/atom. Its volume is 146.7 Å³ per cell. The energy of formation is 0.237 eV/atom. The value obtained for the offset from the most stable computed form is 187 meV per atom. The calculation puts the total moment at 0.653 Bohr magnetons per cell.


[3]
Ca2SmDy | PBE | optimized geometry

Unit cell a=3.6816 b=3.6816 c=12.4681 alpha=81.51 beta=81.51 gamma=60.00
Last column: nearest neighbours and their distance in Å.
Atoms (fractional coordinates):
Ca 0.2487 0.2487 0.2538  6 Ca 3.68, 3 Dy 3.69, 3 Sm 3.77
Ca 0.0845 0.0845 0.7465  6 Ca 3.68, 3 Dy 3.71, 3 Sm 3.77
Dy 0.5002 0.5002 0.4994  6 Dy 3.68, 6 Ca 3.69-3.71
Sm 0.6666 0.6666 0.0003  6 Sm 3.68, 6 Ca 3.77

Calculated values
Its density of states at the Fermi level is 6.54 states/eV per cell. As for the space-group type: No. 160. The total energy comes out at -3.2112 eV/atom. Its volume is 144.2 Å³ per cell. The energy of formation is 0.120 eV/atom. The value obtained for the offset from the most stable computed form is 70 meV per atom. The calculation puts the total moment at 0.521 Bohr magnetons per cell.


[4]
CaSm5Dy8 | PBE | optimized geometry

Unit cell a=8.5187 b=8.5187 c=8.5187 alpha=110.94 beta=106.58 gamma=110.94
Last column: nearest neighbours and their distance in Å.
Atoms (fractional coordinates):
Dy 0.0756 0.7484 0.4723  5 Sm 3.37-3.57, 3 Dy 3.59-3.67
Dy 0.1644 0.7404 0.0827  4 Sm 3.12-3.47, 1 Ca 3.29
Dy 0.9173 0.0817 0.6577  4 Sm 3.12-3.47, 1 Ca 3.29
Dy 0.5277 0.6033 0.2761  5 Sm 3.37-3.57, 3 Dy 3.59-3.67
Dy 0.5760 0.9183 0.8356  4 Sm 3.12-3.47, 1 Ca 3.29
Dy 0.6728 0.3967 0.9244  5 Sm 3.37-3.57, 3 Dy 3.59-3.67
Dy 0.3423 0.2596 0.4240  4 Sm 3.12-3.47, 1 Ca 3.29
Dy 0.7239 0.2516 0.3272  5 Sm 3.37-3.57, 3 Dy 3.59-3.67
Sm 0.8644 0.8978 0.1852  8 Dy 3.38-3.58, 2 Sm 3.60
Sm 0.2874 0.1022 0.9666  8 Dy 3.38-3.58, 2 Sm 3.60
Sm 0.5000 0.0000 0.5000  8 Dy 3.12-3.37
Sm 0.0334 0.3208 0.1356  8 Dy 3.38-3.58, 2 Sm 3.60
Sm 0.8148 0.6792 0.7126  8 Dy 3.38-3.58, 2 Sm 3.60
Ca 0.2500 0.5000 0.7500  4 Dy 3.29

Calculated values
Its density of states at the Fermi level is 18.98 states/eV per cell. As for the space-group type: No. 82. The total energy comes out at -4.2257 eV/atom. Its volume is 475.0 Å³ per cell. The energy of formation is 0.232 eV/atom. The calculation puts the total moment at 0.000 Bohr magnetons per cell.